1.
## ThZn2Cu8 (GGA-PBE)

Data for an optimized crystal structure of ThZn2Cu8.

The structure belongs to space group P4/mmm (No. 123); the cell edges are 6.231, 6.231 and 4.767 Å and the angles 90.00°, 90.00° and 90.00°. The inequivalent atoms are Th at (0.000, 0.000, 0.000), Zn at (0.000, 0.500, 0.500) and Cu at (0.303, 0.303, 0.249).

The electronic total energy is -40.09 eV per formula unit. The value obtained for the magnetic moment is 0.000 μB per atom. The energy relative to the elements is 0.24 eV/atom.

2.
## Re3TcBi (GGA-PBE)

Data for an optimized crystal structure of Re3TcBi.

The structure belongs to space group Pm-3m (No. 221); the cell edges are 4.742, 4.742 and 4.742 Å and the angles 90.00°, 90.00° and 90.00°. The inequivalent atoms are Re at (0.000, 0.000, 0.500), Tc at (0.000, 0.000, 0.000) and Bi at (0.500, 0.500, 0.500).

The electronic total energy is -41.88 eV per formula unit. The value obtained for the magnetic moment is 0.187 μB per atom. The energy relative to the elements is 1.94 eV/atom.

3.
## TbPrEuTm (GGA-PBE)

Data for an optimized crystal structure of TbPrEuTm.

The structure belongs to space group F-43m (No. 216); the cell edges are 8.197, 8.197 and 8.197 Å and the angles 90.00°, 90.00° and 90.00°. The inequivalent atoms are Tb at (0.000, 0.000, 0.000), Pr at (0.000, 0.000, 0.500), Eu at (0.250, 0.250, 0.750) and Tm at (0.250, 0.250, 0.250).

The electronic total energy is -23.58 eV per formula unit. The value obtained for the magnetic moment is 1.941 μB per atom. The energy relative to the elements is 0.14 eV/atom.

4.
## GePtO2 (GGA-PBE)

Data for an optimized crystal structure of GePtO2.

The structure belongs to space group I-42d (No. 122); the cell edges are 5.202, 5.202 and 8.254 Å and the angles 90.00°, 90.00° and 90.00°. The inequivalent atoms are Ge at (0.000, 0.000, 0.000), Pt at (0.000, 0.000, 0.500) and O at (0.145, 0.250, 0.125).

The electronic total energy is -21.60 eV per formula unit. The value obtained for the magnetic moment is 0.072 μB per atom. The value obtained for the uncorrected formation energy is -0.257 eV per atom.